[1]
# KRhSe2

An optimized crystal structure of KRhSe2 (GGA-PBE, Alexandria via LeMat-Bulk).

Geometry as POSCAR:
```
KRhSe2
1.0
4.0619 0.0000 0.0000
0.0000 4.0619 0.0000
0.0000 0.0000 5.5932
K Rh Se
1 1 2
Direct
0.0000 0.0000 0.0000 K
0.5000 0.5000 0.5000 Rh
0.0000 0.0000 0.5000 Se
0.5000 0.5000 0.0000 Se
```

Computed properties:
**Space group**: P4/mmm
**DOS at the Fermi energy**: 5.68 states/eV/cell
**Formation energy without anion corrections**: 0.137 eV per atom

[2]
# TaGaCuIr2

An optimized crystal structure of TaGaCuIr2 (GGA-PBE, Alexandria via LeMat-Bulk).

Geometry as POSCAR:
```
TaGaCuIr2
1.0
4.7746 0.0000 0.0000
0.0000 4.7746 0.0000
0.0000 0.0000 5.0006
Ta Ga Cu Ir
1 1 1 2
Direct
0.0000 0.0000 0.0000 Ta
0.0000 0.0000 0.5000 Ga
0.5000 0.5000 0.5000 Cu
0.0000 0.5000 0.0000 Ir
0.5000 0.0000 0.0000 Ir
```

Computed properties:
**Space group**: P4/mmm
**DOS at the Fermi energy**: 4.98 states/eV/cell
**ΔE_f**: 1.38 eV/atom

[3]
# Sc2ReTc

An optimized crystal structure of Sc2ReTc (GGA-PBE, Alexandria via LeMat-Bulk).

Geometry as POSCAR:
```
Sc2ReTc
1.0
3.0680 0.0000 0.0000
-1.5340 2.6570 0.0000
0.0000 0.0000 25.5649
Sc Re Tc
6 3 3
Direct
0.0000 0.0000 0.2481 Sc
0.0000 0.0000 0.7519 Sc
0.3333 0.6667 0.4186 Sc
0.3333 0.6667 0.9148 Sc
0.6667 0.3333 0.0852 Sc
0.6667 0.3333 0.5814 Sc
0.0000 0.0000 0.0000 Re
0.3333 0.6667 0.6667 Re
0.6667 0.3333 0.3333 Re
0.0000 0.0000 0.5000 Tc
0.3333 0.6667 0.1667 Tc
0.6667 0.3333 0.8333 Tc
```

Computed properties:
**Space group**: R-3m
**Offset from the most stable computed form**: 0.338 eV per atom
**DOS at the Fermi energy**: 13.39 states/eV/cell
**ΔE_f**: 0.18 eV/atom

[4]
# KLaMn

An optimized crystal structure of KLaMn (GGA-PBE, Alexandria via LeMat-Bulk).

Geometry as POSCAR:
```
KLaMn
1.0
5.7460 0.0000 0.0000
-2.8730 4.9762 0.0000
0.0000 0.0000 3.3638
K La Mn
1 1 1
Direct
0.0000 0.0000 0.0000 K
0.6667 0.3333 0.3826 La
0.3333 0.6667 0.8217 Mn
```

Computed properties:
**Space group**: P3m1
**Offset from the most stable computed form**: 0.312 eV per atom
**DOS at the Fermi energy**: 4.82 states/eV/cell
**ΔE_f**: 0.85 eV/atom

[5]
# Np2B2Rh5Au

An optimized crystal structure of Np2B2Rh5Au (GGA-PBE, Alexandria via LeMat-Bulk).

Geometry as POSCAR:
```
Np2B2Rh5Au
1.0
9.5480 0.0000 0.0000
0.0000 9.5480 0.0000
0.0000 0.0000 3.2924
Np B Rh Au
4 4 10 2
Direct
0.1787 0.3213 0.0000 Np
0.3213 0.8213 0.0000 Np
0.6787 0.1787 0.0000 Np
0.8213 0.6787 0.0000 Np
0.1209 0.6209 0.0000 B
0.3791 0.1209 0.0000 B
0.6209 0.8791 0.0000 B
0.8791 0.3791 0.0000 B
0.0000 0.5000 0.5000 Rh
0.0719 0.7739 0.5000 Rh
0.2261 0.0719 0.5000 Rh
0.2739 0.5719 0.5000 Rh
0.4281 0.2739 0.5000 Rh
0.5000 0.0000 0.5000 Rh
0.5719 0.7261 0.5000 Rh
0.7261 0.4281 0.5000 Rh
0.7739 0.9281 0.5000 Rh
0.9281 0.2261 0.5000 Rh
0.0000 0.0000 0.0000 Au
0.5000 0.5000 0.0000 Au
```

Computed properties:
**Space group**: P4/mbm
**DOS at the Fermi energy**: 43.18 states/eV/cell
**ΔE_f**: -0.38 eV/atom

[6]
# Y4Hg2O

An optimized crystal structure of Y4Hg2O (GGA-PBE, Alexandria via LeMat-Bulk).

Geometry as POSCAR:
```
Y4Hg2O
1.0
4.7493 0.0000 0.0000
0.0000 4.7493 0.0000
0.0000 0.0000 15.1475
Y Hg O
8 4 2
Direct
0.0000 0.0000 0.1772 Y
0.0000 0.0000 0.8228 Y
0.0000 0.5000 0.0000 Y
0.0000 0.5000 0.5000 Y
0.5000 0.0000 0.0000 Y
0.5000 0.0000 0.5000 Y
0.5000 0.5000 0.3228 Y
0.5000 0.5000 0.6772 Y
0.0000 0.0000 0.3698 Hg
0.0000 0.0000 0.6302 Hg
0.5000 0.5000 0.1302 Hg
0.5000 0.5000 0.8698 Hg
0.0000 0.0000 0.0000 O
0.5000 0.5000 0.5000 O
```

Computed properties:
**Space group**: I4/mmm
**DOS at the Fermi energy**: 1.91 states/eV/cell
**Formation energy without anion corrections**: -1.113 eV per atom